(1)
The following is a DFT calculation (PBE) of a relaxed Th2Ga2Se crystal.

Output
* crystal system: trigonal

```
data_Th2Ga2Se
_chemical_formula_sum 'Th6 Ga6 Se3'
_cell_length_a 4.2209
_cell_length_b 4.2209
_cell_length_c 23.5387
_cell_angle_alpha 90.00
_cell_angle_beta 90.00
_cell_angle_gamma 120.00
_space_group_name_H-M_alt 'R -3 m'
_space_group_IT_number 166
_space_group_name_Hall '-R 3 2"'
loop_
_atom_site_label
_atom_site_type_symbol
_atom_site_fract_x
_atom_site_fract_y
_atom_site_fract_z
_atom_site_occupancy
Th1 Th 0.0000 0.0000 0.0896 1
Ga1 Ga 0.0000 0.0000 0.3281 1
Se1 Se 0.0000 0.0000 0.5000 1
```

(2)
The following is a DFT calculation (PBE) of a relaxed ThGa2Se6 crystal.

Output
* crystal system: monoclinic

```
data_ThGa2Se6
_chemical_formula_sum 'Th4 Ga8 Se24'
_cell_length_a 12.070
_cell_length_b 11.170
_cell_length_c 7.053
_cell_angle_alpha 90.00
_cell_angle_beta 104.28
_cell_angle_gamma 90.00
_space_group_name_H-M_alt 'C 1 2/c 1'
_space_group_IT_number 15
loop_
_space_group_symop_operation_xyz
'x,y,z'
'-x,-y,-z'
'-x,y,-z+1/2'
'x,-y,z+1/2'
'x+1/2,y+1/2,z'
'-x+1/2,-y+1/2,-z'
'-x+1/2,y+1/2,-z+1/2'
'x+1/2,-y+1/2,z+1/2'
loop_
_atom_site_label
_atom_site_type_symbol
_atom_site_fract_x
_atom_site_fract_y
_atom_site_fract_z
_atom_site_occupancy
Th1 Th 0.000 0.154 0.250 1
Ga1 Ga 0.177 0.445 0.218 1
Se1 Se 0.108 0.378 0.499 1
Se2 Se 0.120 0.046 0.629 1
Se3 Se 0.149 0.279 0.984 1
```

(3)
The following is a DFT calculation (PBE) of a relaxed Th4GaSe5 crystal.

Output
* crystal system: monoclinic

```
data_Th4GaSe5
_chemical_formula_sum 'Th8 Ga2 Se10'
_cell_length_a 18.470
_cell_length_b 4.293
_cell_length_c 8.468
_cell_angle_alpha 90.00
_cell_angle_beta 105.53
_cell_angle_gamma 90.00
_space_group_name_H-M_alt 'C 1 2/m 1'
_space_group_IT_number 12
loop_
_space_group_symop_operation_xyz
'x,y,z'
'-x,-y,-z'
'-x,y,-z'
'x,-y,z'
'x+1/2,y+1/2,z'
'-x+1/2,-y+1/2,-z'
'-x+1/2,y+1/2,-z'
'x+1/2,-y+1/2,z'
loop_
_atom_site_label
_atom_site_type_symbol
_atom_site_fract_x
_atom_site_fract_y
_atom_site_fract_z
_atom_site_occupancy
Th1 Th 0.001 0.000 0.252 1
Th2 Th 0.169 0.500 0.108 1
Ga1 Ga 0.000 0.500 0.000 1
Se1 Se 0.000 0.500 0.500 1
Se2 Se 0.166 0.000 0.335 1
Se3 Se 0.167 0.000 0.858 1
```

(4)
The following is a DFT calculation (PBE) of a relaxed YThGaSe crystal.

Output
* crystal system: trigonal

```
data_YThGaSe
_chemical_formula_sum 'Y3 Th3 Ga3 Se3'
_cell_length_a 4.2083
_cell_length_b 4.2083
_cell_length_c 20.7730
_cell_angle_alpha 90.00
_cell_angle_beta 90.00
_cell_angle_gamma 120.00
_space_group_name_H-M_alt 'R 3 m'
_space_group_IT_number 160
_space_group_name_Hall 'R 3 -2"'
loop_
_atom_site_label
_atom_site_type_symbol
_atom_site_fract_x
_atom_site_fract_y
_atom_site_fract_z
_atom_site_occupancy
Y1 Y 0.0000 0.0000 0.0000 1
Th1 Th 0.0000 0.0000 0.4959 1
Ga1 Ga 0.0000 0.0000 0.7462 1
Se1 Se 0.0000 0.0000 0.2511 1
```

(5)
The following is a DFT calculation (PBE) of a relaxed TiGa2Se crystal.

Output
* crystal system: tetragonal

```
data_TiGa2Se
_chemical_formula_sum 'Ti4 Ga8 Se4'
_cell_length_a 7.627
_cell_length_b 7.627
_cell_length_c 5.245
_cell_angle_alpha 90.00
_cell_angle_beta 90.00
_cell_angle_gamma 90.00
_space_group_name_H-M_alt 'I -4 2 d'
_space_group_IT_number 122
_space_group_name_Hall 'I -4 2bw'
loop_
_atom_site_label
_atom_site_type_symbol
_atom_site_fract_x
_atom_site_fract_y
_atom_site_fract_z
_atom_site_occupancy
Ti1 Ti 0.000 0.000 0.000 1
Ga1 Ga 0.246 0.250 0.125 1
Se1 Se 0.000 0.000 0.500 1
```

(6)
The following is a DFT calculation (PBE) of a relaxed TiGaSe4 crystal.

Output
* crystal system: monoclinic

```
data_TiGaSe4
_chemical_formula_sum 'Ti2 Ga2 Se8'
_cell_length_a 13.506
_cell_length_b 3.581
_cell_length_c 6.448
_cell_angle_alpha 90.00
_cell_angle_beta 115.41
_cell_angle_gamma 90.00
_space_group_name_H-M_alt 'C 1 2/m 1'
_space_group_IT_number 12
loop_
_space_group_symop_operation_xyz
'x,y,z'
'-x,-y,-z'
'-x,y,-z'
'x,-y,z'
'x+1/2,y+1/2,z'
'-x+1/2,-y+1/2,-z'
'-x+1/2,y+1/2,-z'
'x+1/2,-y+1/2,z'
loop_
_atom_site_label
_atom_site_type_symbol
_atom_site_fract_x
_atom_site_fract_y
_atom_site_fract_z
_atom_site_occupancy
Ti1 Ti 0.000 0.000 0.000 1
Ga1 Ga 0.000 0.500 0.500 1
Se1 Se 0.120 0.000 0.442 1
Se2 Se 0.127 0.500 0.972 1
```

(7)
The following is a DFT calculation (PBE) of a relaxed Ti3GaSe3 crystal.

Output
* crystal system: cubic

```
data_Ti3GaSe3
_chemical_formula_sum 'Ti24 Ga8 Se24'
_cell_length_a 10.332
_cell_length_b 10.332
_cell_length_c 10.332
_cell_angle_alpha 90.00
_cell_angle_beta 90.00
_cell_angle_gamma 90.00
_space_group_name_H-M_alt 'I 41 3 2'
_space_group_IT_number 214
_space_group_name_Hall 'I 4bd 2c 3'
loop_
_atom_site_label
_atom_site_type_symbol
_atom_site_fract_x
_atom_site_fract_y
_atom_site_fract_z
_atom_site_occupancy
Ti1 Ti 0.125 0.125 0.375 1
Ga1 Ga 0.125 0.125 0.125 1
Se1 Se 0.123 0.127 0.625 1
```

(8)
The following is a DFT calculation (PBE) of a relaxed Ti8GaSe2 crystal.

Output
* crystal system: monoclinic

```
data_Ti8GaSe2
_chemical_formula_sum 'Ti16 Ga2 Se4'
_cell_length_a 7.352
_cell_length_b 11.269
_cell_length_c 4.733
_cell_angle_alpha 90.00
_cell_angle_beta 106.95
_cell_angle_gamma 90.00
_space_group_name_H-M_alt 'C 1 2/m 1'
_space_group_IT_number 12
loop_
_space_group_symop_operation_xyz
'x,y,z'
'-x,-y,-z'
'-x,y,-z'
'x,-y,z'
'x+1/2,y+1/2,z'
'-x+1/2,-y+1/2,-z'
'-x+1/2,y+1/2,-z'
'x+1/2,-y+1/2,z'
loop_
_atom_site_label
_atom_site_type_symbol
_atom_site_fract_x
_atom_site_fract_y
_atom_site_fract_z
_atom_site_occupancy
Ti1 Ti 0.000 0.240 0.000 1
Ti2 Ti 0.111 0.500 0.830 1
Ti3 Ti 0.198 0.116 0.601 1
Ga1 Ga 0.000 0.000 0.000 1
Se1 Se 0.000 0.313 0.500 1
```

| no. | formation energy from raw total energies (eV per atom) |
| --- | --- |
| 1 | -0.994 |
| 2 | -0.774 |
| 3 | -1.393 |
| 4 | -1.055 |
| 5 | -0.064 |
| 6 | -0.637 |
| 7 | -0.867 |
| 8 | -0.394 |